Entry 1:
A plane-wave DFT calculation with PBE was carried out for an optimized crystal structure of CeZr3H.

Properties
As for the total energy: -7.0117 eV per atom. The spin magnetization is 0.0 μB/f.u.

Unit cell a=4.624 b=4.624 c=4.624 alpha=90.00 beta=90.00 gamma=90.00
Space group Pm-3m (No. 221)
Inequivalent atoms, fractional coordinates:
Ce: 0.000 0.000 0.000
Zr: 0.000 0.500 0.500
H: 0.500 0.500 0.500

Entry 2:
A plane-wave DFT calculation with PBE was carried out for an optimized crystal structure of Pu3Ga7Pt2.

Properties
As for the formation energy: -6.15 eV/f.u. As for the total energy: -6.8682 eV per atom. The spin magnetization is 5.7 μB/f.u.

Unit cell a=5.4844 b=5.4844 c=26.2714 alpha=90.00 beta=90.00 gamma=120.00
Space group R-3m (No. 166, hexagonal axes)
Inequivalent atoms, fractional coordinates:
Pu: 0.0000 0.0000 0.0000
Pu: 0.0000 0.0000 0.1474
Ga: 0.0000 0.0000 0.5000
Ga: 0.0110 0.5055 0.9194
Pt: 0.0000 0.0000 0.3376

Entry 3:
A plane-wave DFT calculation with PBE was carried out for an optimized crystal structure of B.

Properties
As for the formation energy: 0.39 eV/f.u. For the polymorph energy (0 for the lowest one), the calculation gives 37 kJ/mol of formula units. As for the total energy: -6.2888 eV per atom. The spin magnetization is 0.0 μB/f.u.

Unit cell a=2.902 b=6.254 c=5.290 alpha=90.00 beta=90.00 gamma=90.00
Space group Imm2 (No. 44)
Inequivalent atoms, fractional coordinates:
B: 0.000 0.000 0.000
B: 0.000 0.189 0.761
B: 0.000 0.254 0.092
B: 0.000 0.500 0.220

Entry 4:
A plane-wave DFT calculation with PBE was carried out for an optimized crystal structure of TcRh.

Properties
As for the formation energy: -0.04 eV/f.u. For the polymorph energy (0 for the lowest one), the calculation gives 30 kJ/mol of formula units. As for the total energy: -8.8785 eV per atom. The spin magnetization is 0.0 μB/f.u.

Unit cell a=2.679 b=10.160 c=4.236 alpha=90.00 beta=90.00 gamma=90.00
Space group Cmcm (No. 63)
Inequivalent atoms, fractional coordinates:
Tc: 0.000 0.169 0.250
Rh: 0.000 0.428 0.250